# HoTl3 (PBEsol, optimized geometry)
data_HoTl3
_space_group_name_H-M_alt 'P m -3 m'
_space_group_IT_number 221
_space_group_name_Hall '-P 4 2 3'
_cell_length_a 4.6467
_cell_length_b 4.6467
_cell_length_c 4.6467
_cell_angle_alpha 90.00
_cell_angle_beta 90.00
_cell_angle_gamma 90.00
loop_
_atom_site_label
_atom_site_fract_x
_atom_site_fract_y
_atom_site_fract_z
_atom_site_occupancy
Ho1 0.0000 0.0000 0.0000 1
Tl1 0.0000 0.5000 0.5000 1
# **E**: -13.96 eV/cell

# ReTeRh2 (PBEsol, optimized geometry)
data_ReTeRh2
_space_group_name_H-M_alt 'C m m m'
_space_group_IT_number 65
_space_group_name_Hall '-C 2 2'
_cell_length_a 5.4386
_cell_length_b 7.9298
_cell_length_c 2.8712
_cell_angle_alpha 90.00
_cell_angle_beta 90.00
_cell_angle_gamma 90.00
loop_
_atom_site_label
_atom_site_fract_x
_atom_site_fract_y
_atom_site_fract_z
_atom_site_occupancy
Re1 0.0000 0.0000 0.0000 1
Te1 0.0000 0.5000 0.0000 1
Rh1 0.2500 0.2500 0.5000 1
# **Uncorrected formation energy**: 0.30 eV/atom

# NaCa2Pb2 (PBEsol, optimized geometry)
data_NaCa2Pb2
_space_group_name_H-M_alt 'P 4/m b m'
_space_group_IT_number 127
_space_group_name_Hall '-P 4 2ab'
_cell_length_a 9.3580
_cell_length_b 9.3580
_cell_length_c 3.5107
_cell_angle_alpha 90.00
_cell_angle_beta 90.00
_cell_angle_gamma 90.00
loop_
_atom_site_label
_atom_site_fract_x
_atom_site_fract_y
_atom_site_fract_z
_atom_site_occupancy
Na1 0.0000 0.0000 0.0000 1
Ca1 0.1258 0.3742 0.0000 1
Pb1 0.1748 0.6748 0.5000 1
# **E**: -31.16 eV/cell

# TcTe2P (PBEsol, optimized geometry)
data_TcTe2P
_space_group_name_H-M_alt 'C m m m'
_space_group_IT_number 65
_space_group_name_Hall '-C 2 2'
_cell_length_a 3.2601
_cell_length_b 5.1775
_cell_length_c 9.4544
_cell_angle_alpha 90.00
_cell_angle_beta 90.00
_cell_angle_gamma 90.00
loop_
_atom_site_label
_atom_site_fract_x
_atom_site_fract_y
_atom_site_fract_z
_atom_site_occupancy
Tc1 0.0000 0.0000 0.0000 1
Te1 0.0000 0.5000 0.2267 1
P1 0.0000 0.0000 0.5000 1
# **Uncorrected formation energy**: 0.68 eV/atom

Please write out number 2 again, unchanged.
# ReTeRh2 (PBEsol, optimized geometry)
data_ReTeRh2
_space_group_name_H-M_alt 'C m m m'
_space_group_IT_number 65
_space_group_name_Hall '-C 2 2'
_cell_length_a 5.4386
_cell_length_b 7.9298
_cell_length_c 2.8712
_cell_angle_alpha 90.00
_cell_angle_beta 90.00
_cell_angle_gamma 90.00
loop_
_atom_site_label
_atom_site_fract_x
_atom_site_fract_y
_atom_site_fract_z
_atom_site_occupancy
Re1 0.0000 0.0000 0.0000 1
Te1 0.0000 0.5000 0.0000 1
Rh1 0.2500 0.2500 0.5000 1
# **Uncorrected formation energy**: 0.30 eV/atom